4
Lattice="-0.186 -3.265 1.918 2.753 -0.927 2.437 -3.439 2.587 7.819" Properties=species:S:1:pos:R:3 comment="Nd2ErF | Alexandria via LeMat-Bulk | GGA-PBE | relaxed" formation_energy_uncorrected_ev_per_fu=-4.51 dos_at_fermi_per_ev_atom=0.874 pbc="T T T"
F 0.000 0.000 0.000
Nd -0.995 -0.888 9.635
Nd 0.122 -0.717 2.538
Er -0.436 -0.803 6.087

---

8
Lattice="3.735 0.000 0.000 0.000 3.735 0.000 1.867 1.867 10.531" Properties=species:S:1:pos:R:3 comment="Li2ScMn | Alexandria via LeMat-Bulk | GGA-PBE | relaxed" ef_ev_per_atom=0.357 dos_at_fermi_per_ev_atom=0.632 de_polymorph_mev_per_atom=199.7 pbc="T T T"
Sc 1.867 1.867 0.000
Sc 1.867 3.735 5.266
Mn 0.000 0.000 0.000
Mn 3.735 1.867 5.266
Li 0.842 0.934 2.633
Li 2.893 2.801 2.633
Li 2.801 4.760 7.898
Li 4.669 2.709 7.898

---

7
Lattice="5.250 0.000 0.000 0.000 5.250 0.000 2.625 2.625 10.466" Properties=species:S:1:pos:R:3 comment="Cs2In4Pt | Alexandria via LeMat-Bulk | GGA-PBE | relaxed" ef_ev_per_atom=-0.125 dos_at_fermi_per_ev_atom=0.799 pbc="T T T"
Cs 5.250 5.250 6.883
Cs 2.625 2.625 3.583
Pt 0.000 0.000 0.000
In 5.250 5.250 2.694
In 2.625 2.625 7.772
In 0.000 2.625 0.000
In 2.625 0.000 0.000

---

8
Lattice="4.315 0.000 0.000 0.000 4.315 0.000 2.157 2.157 8.261" Properties=species:S:1:pos:R:3 comment="InSi2Pd | Alexandria via LeMat-Bulk | GGA-PBE | relaxed" formation_energy_uncorrected_ev_per_fu=0.00 dos_at_fermi_per_ev_atom=0.400 pbc="T T T"
Si 2.836 1.079 2.065
Si 1.479 3.236 2.065
Si 3.236 3.636 6.196
Si 5.394 4.993 6.196
Pd 2.157 2.157 0.000
Pd 2.157 4.315 4.131
In 0.000 0.000 0.000
In 4.315 2.157 4.131

---

5
Lattice="5.155 0.000 0.000 0.000 5.155 0.000 0.000 0.000 5.625" Properties=species:S:1:pos:R:3 comment="CrNiTe2I | Alexandria via LeMat-Bulk | GGA-PBE | relaxed" formation_energy_uncorrected_ev_per_fu=4.04 dos_at_fermi_per_ev_atom=2.345 de_polymorph_mev_per_atom=259.6 pbc="T T T"
I 0.000 0.000 2.813
Ni 2.578 2.578 2.813
Te 0.000 2.578 0.000
Te 2.578 0.000 0.000
Cr 0.000 0.000 0.000

---

4
Lattice="3.820 0.000 0.000 0.000 3.820 0.000 0.000 0.000 6.035" Properties=species:S:1:pos:R:3 comment="InAs2P | Alexandria via LeMat-Bulk | GGA-PBE | relaxed" ef_ev_per_atom=0.076 dos_at_fermi_per_ev_atom=0.722 de_polymorph_mev_per_atom=60.9 pbc="T T T"
As 0.000 0.000 5.246
As 1.910 1.910 1.801
In 0.000 0.000 2.525
P 1.910 1.910 5.517

---

12
Lattice="-0.427 3.499 -4.083 -7.983 1.789 5.931 7.371 5.218 3.700" Properties=species:S:1:pos:R:3 comment="InSbCl4 | Alexandria via LeMat-Bulk | GGA-PBE | relaxed" formation_energy_uncorrected_ev_per_fu=-5.01 de_polymorph_mev_per_atom=14.3 pbc="T T T"
In -1.065 2.896 2.593
In 0.027 7.609 2.954
Sb 3.336 4.179 3.232
Sb -4.374 6.327 2.316
Cl 1.884 1.942 1.467
Cl 4.428 5.862 4.560
Cl -1.782 5.606 1.427
Cl 2.845 5.919 1.211
Cl -3.883 4.587 4.336
Cl 0.743 4.900 4.121
Cl -5.467 4.643 0.987
Cl -2.922 8.564 4.080

---

5
Lattice="-0.604 3.997 2.880 -4.900 -0.184 -0.772 -0.383 -2.182 2.948" Properties=species:S:1:pos:R:3 comment="TcCSe2N | Alexandria via LeMat-Bulk | GGA-PBE | relaxed" formation_energy_uncorrected_ev_per_fu=7.93 dos_at_fermi_per_ev_atom=0.755 de_polymorph_mev_per_atom=496.6 pbc="T T T"
C -2.943 0.816 2.528
Tc 0.000 0.000 0.000
Se -2.450 -0.092 -0.386
Se -0.302 1.998 1.440
N -0.191 -1.091 1.474